(1)
This record from Alexandria describes a geometry-optimized La2InTe structure. The functional is PBE.

Properties
Crystal system: orthorhombic
Energy relative to the lowest polymorph listed for this composition, meV/atom: 119.3

a = 3.8150 Å, b = 3.8283 Å, c = 8.4941 Å
α = 90.00°, β = 90.00°, γ = 90.00°
With the nearest neighbours (Å) after each atom.
Space group Pmmm (No. 47)
Symmetry-distinct sites (fractional):
La 0.0000 0.0000 0.2413 (multiplicity 2)  4 Te 3.39, 4 In 3.48
In 0.5000 0.5000 0.5000 (multiplicity 1)  8 La 3.48, 4 In 3.81-3.83
Te 0.5000 0.5000 0.0000 (multiplicity 1)  8 La 3.39



(2)
This record from Alexandria describes a geometry-optimized La6As3Se2S structure. The functional is PBE.

Properties
Crystal system: monoclinic

a = 18.8503 Å, b = 4.3305 Å, c = 8.6353 Å
α = 90.00°, β = 103.15°, γ = 90.00°
With the nearest neighbours (Å) after each atom.
Space group C2/m (No. 12)
Symmetry-distinct sites (fractional):
La 0.0021 0.0000 0.2530 (multiplicity 4)  3 As 3.04-3.07, 2 S 3.05, 1 Se 3.09
La 0.1647 0.5000 0.0880 (multiplicity 4)  3 As 3.02, 3 Se 3.09-3.10
La 0.1654 0.5000 0.5774 (multiplicity 4)  3 As 3.02-3.07, 1 S 3.04, 2 Se 3.09
As 0.0000 0.5000 0.0000 (multiplicity 2)  6 La 3.02-3.07
As 0.1676 0.0000 0.3340 (multiplicity 4)  6 La 3.02-3.07
Se 0.1663 0.0000 0.8332 (multiplicity 4)  6 La 3.09-3.10
S 0.0000 0.5000 0.5000 (multiplicity 2)  6 La 3.04-3.05



Let's list uncorrected formation energy in order: -0.928; -1.855 eV/atom.